1.
Compound: ScSnSb2
Source: Alexandria via LeMat-Bulk
Functional: GGA-PBE
Structure: optimized geometry

## Properties
The uncorrected formation energy is -0.29 eV/atom. The value obtained for the density of states at the Fermi level is 2.24 states/eV per cell.

abc: 7.712 7.712 7.712
angles: 32.13 32.13 32.13
Fractional positions:
1 Sc 0.000 0.000 0.000
2 Sn 0.834 0.834 0.834
3 Sb 0.407 0.407 0.407
4 Sb 0.592 0.592 0.592



2.
Compound: Au3Cl5
Source: Alexandria via LeMat-Bulk
Functional: GGA-PBE
Structure: optimized geometry

## Properties
For the energy above the lowest structure with this stoichiometry, the calculation gives 0 meV/atom. The uncorrected formation energy is -0.17 eV/atom.

abc: 8.064 8.097 8.161
angles: 84.48 87.45 79.05
Fractional positions:
1 Au 0.000 0.000 0.000
2 Au 0.043 0.838 0.397
3 Au 0.193 0.397 0.915
4 Au 0.460 0.579 0.594
5 Au 0.625 0.293 0.454
6 Au 0.785 0.600 0.066
7 Cl 0.127 0.061 0.506
8 Cl 0.198 0.662 0.787
9 Cl 0.217 0.133 0.058
10 Cl 0.329 0.712 0.340
11 Cl 0.483 0.209 0.685
12 Cl 0.634 0.535 0.832
13 Cl 0.748 0.330 0.190
14 Cl 0.761 0.950 0.449
15 Cl 0.776 0.879 0.940
16 Cl 0.963 0.596 0.311



3.
Compound: CuPd3Au2
Source: Alexandria via LeMat-Bulk
Functional: GGA-PBE
Structure: optimized geometry

## Properties
For the energy above the lowest structure with this stoichiometry, the calculation gives 73 meV/atom. The formation energy is 0.002 eV per atom. The value obtained for the density of states at the Fermi level is 13.39 states/eV per cell.

abc: 7.405 7.405 5.551
angles: 90.00 90.00 39.67
Fractional positions:
1 Cu 0.227 0.773 0.750
2 Cu 0.773 0.227 0.250
3 Pd 0.145 0.145 0.000
4 Pd 0.145 0.145 0.500
5 Pd 0.277 0.723 0.250
6 Pd 0.723 0.277 0.750
7 Pd 0.855 0.855 0.000
8 Pd 0.855 0.855 0.500
9 Au 0.313 0.332 0.750
10 Au 0.332 0.313 0.250
11 Au 0.668 0.687 0.750
12 Au 0.687 0.668 0.250



4.
Compound: Zn2CoOs
Source: Alexandria via LeMat-Bulk
Functional: GGA-PBE
Structure: optimized geometry

## Properties
For the energy above the lowest structure with this stoichiometry, the calculation gives 220 meV/atom. The formation energy is 0.290 eV per atom. The value obtained for the density of states at the Fermi level is 6.71 states/eV per cell.

abc: 4.208 4.208 4.208
angles: 60.00 60.00 60.00
Fractional positions:
1 Zn 0.250 0.250 0.250
2 Zn 0.750 0.750 0.750
3 Co 0.000 0.000 0.000
4 Os 0.500 0.500 0.500



5.
Compound: MgSc5Rh4
Source: Alexandria via LeMat-Bulk
Functional: GGA-PBE
Structure: optimized geometry

## Properties
The formation energy is -0.828 eV per atom. The value obtained for the density of states at the Fermi level is 5.21 states/eV per cell.

abc: 3.250 3.250 17.112
angles: 90.00 90.00 90.00
Fractional positions:
1 Mg 0.000 0.000 0.000
2 Sc 0.500 0.500 0.126
3 Sc 0.500 0.500 0.312
4 Sc 0.500 0.500 0.500
5 Sc 0.500 0.500 0.688
6 Sc 0.500 0.500 0.874
7 Rh 0.000 0.000 0.215
8 Rh 0.000 0.000 0.406
9 Rh 0.000 0.000 0.594
10 Rh 0.000 0.000 0.785



6.
Compound: Ga3Co4Ge2
Source: Alexandria via LeMat-Bulk
Functional: GGA-PBE
Structure: optimized geometry

## Properties
The formation energy is -0.014 eV per atom. The value obtained for the density of states at the Fermi level is 14.08 states/eV per cell.

abc: 7.375 7.375 4.545
angles: 91.92 91.92 76.21
Fractional positions:
1 Ga 0.056 0.944 0.750
2 Ga 0.303 0.482 0.019
3 Ga 0.482 0.303 0.519
4 Ga 0.518 0.697 0.481
5 Ga 0.697 0.518 0.981
6 Ga 0.944 0.056 0.250
7 Co 0.005 0.308 0.983
8 Co 0.219 0.626 0.520
9 Co 0.308 0.005 0.483
10 Co 0.374 0.781 0.980
11 Co 0.626 0.219 0.020
12 Co 0.692 0.995 0.517
13 Co 0.781 0.374 0.480
14 Co 0.995 0.692 0.017
15 Ge 0.118 0.330 0.495
16 Ge 0.330 0.118 0.995
17 Ge 0.670 0.882 0.005
18 Ge 0.882 0.670 0.505



7.
Compound: Ho4TmZn5
Source: Alexandria via LeMat-Bulk
Functional: GGA-PBE
Structure: optimized geometry

## Properties
The formation energy is -0.345 eV per atom. The value obtained for the density of states at the Fermi level is 11.22 states/eV per cell.

abc: 3.546 3.546 17.742
angles: 90.00 90.00 90.00
Fractional positions:
1 Ho 0.000 0.000 0.100
2 Ho 0.000 0.000 0.301
3 Ho 0.000 0.000 0.699
4 Ho 0.000 0.000 0.900
5 Tm 0.000 0.000 0.500
6 Zn 0.500 0.500 0.000
7 Zn 0.500 0.500 0.201
8 Zn 0.500 0.500 0.402
9 Zn 0.500 0.500 0.598
10 Zn 0.500 0.500 0.799



8.
Compound: Y3RuRh
Source: Alexandria via LeMat-Bulk
Functional: GGA-PBE
Structure: optimized geometry

## Properties
For the energy above the lowest structure with this stoichiometry, the calculation gives 0 meV/atom. The formation energy is -0.486 eV per atom. The value obtained for the density of states at the Fermi level is 12.55 states/eV per cell.

abc: 8.620 7.371 7.950
angles: 90.00 111.45 90.00
Fractional positions:
1 Y 0.030 0.008 0.212
2 Y 0.030 0.492 0.712
3 Y 0.282 0.658 0.103
4 Y 0.282 0.842 0.603
5 Y 0.361 0.196 0.967
6 Y 0.361 0.304 0.467
7 Y 0.639 0.696 0.533
8 Y 0.639 0.804 0.033
9 Y 0.718 0.158 0.397
10 Y 0.718 0.342 0.897
11 Y 0.970 0.508 0.288
12 Y 0.970 0.992 0.788
13 Ru 0.100 0.177 0.561
14 Ru 0.100 0.323 0.061
15 Ru 0.900 0.677 0.939
16 Ru 0.900 0.823 0.439
17 Rh 0.390 0.525 0.795
18 Rh 0.390 0.975 0.295
19 Rh 0.610 0.025 0.705
20 Rh 0.610 0.475 0.205